{
  "formula": "NdP2Pd",
  "functional": "PBE",
  "state": "optimized geometry",
  "lattice": [[3.9209, 0.0000, 0.0000], [1.9605, 3.3956, 0.0000], [1.9605, 1.1319, 7.3904]],
  "species": ["P", "P", "Nd", "Pd"],
  "frac_coords": [[0.1280, 0.1280, 0.6159], [0.8720, 0.8720, 0.3841], [0.0000, 0.0000, 0.0000], [0.5000, 0.5000, 0.5000]],
  "total_energy_ev_per_atom": -5.303,
  "polymorph_energy_mev_per_atom": 897
}